## PrGdFe4 (GGA-PBE)

Data for crystalline PrGdFe4 at its relaxed geometry.

a = 5.227 Å, b = 5.227 Å, c = 5.227 Å
α = 60.00°, β = 60.00°, γ = 60.00°
Each line ends with the local moment (μB).
Atoms (fractional coordinates):
Fe  0.626  0.123  0.626  2.20
Fe  0.626  0.626  0.123  2.20
Fe  0.626  0.626  0.626  2.20
Fe  0.123  0.626  0.626  2.20
Gd  0.000  0.000  0.000  6.64
Pr  0.250  0.250  0.250  -0.33

Calculated values
Volume in Å³ per atom: 16.83
Density in g/cm³: 8.6
ΔH_f (0 K) in eV per atom: 0.066
Spin magnetization in μB per formula unit: 14.78
E_tot in eV for the cell shown: -52.32

## Er4TlSn2 (GGA-PBE)

Data for crystalline Er4TlSn2 at its relaxed geometry.

a = 6.021 Å, b = 6.609 Å, c = 10.254 Å
α = 90.00°, β = 103.91°, γ = 90.00°
Atoms (fractional coordinates):
Sn  0.309  0.250  0.462
Sn  0.691  0.750  0.538
Sn  0.579  0.750  0.000
Sn  0.421  0.250  0.000
Er  0.521  0.505  0.263
Er  0.143  0.750  0.463
Er  0.972  0.250  0.160
Er  0.479  0.005  0.737
Er  0.028  0.750  0.840
Er  0.857  0.250  0.537
Er  0.479  0.495  0.737
Er  0.521  0.995  0.263
Tl  0.052  0.750  0.160
Tl  0.948  0.250  0.840

Calculated values
Volume in Å³ per atom: 28.29
Density in g/cm³: 9.3
ΔH_f (0 K) in eV per atom: -0.403
Spin magnetization in μB per formula unit: 0.00
E_tot in eV for the cell shown: -62.89

## Hf5TcBi (GGA-PBE)

Data for crystalline Hf5TcBi at its relaxed geometry.

a = 5.369 Å, b = 5.369 Å, c = 10.993 Å
α = 80.07°, β = 80.07°, γ = 87.88°
Atoms (fractional coordinates):
Hf  0.015  0.985  0.750
Hf  0.551  0.928  0.624
Hf  0.072  0.449  0.876
Hf  0.492  0.782  0.932
Hf  0.508  0.218  0.068
Hf  0.928  0.551  0.124
Hf  0.218  0.508  0.568
Hf  0.782  0.492  0.432
Hf  0.449  0.072  0.376
Hf  0.985  0.015  0.250
Bi  0.386  0.614  0.250
Bi  0.614  0.386  0.750
Tc  0.000  0.000  0.000
Tc  0.000  0.000  0.500

Calculated values
Volume in Å³ per atom: 21.96
Density in g/cm³: 13.0
ΔH_f (0 K) in eV per atom: 0.032
Spin magnetization in μB per formula unit: 0.00
E_tot in eV for the cell shown: -127.58

## TiCdHgAu (GGA-PBE)

Data for crystalline TiCdHgAu at its relaxed geometry.

a = 4.760 Å, b = 4.760 Å, c = 4.760 Å
α = 60.00°, β = 60.00°, γ = 60.00°
Atoms (fractional coordinates):
Au  0.750  0.750  0.750
Hg  0.250  0.250  0.250
Cd  0.000  0.000  0.000
Ti  0.500  0.500  0.500

Calculated values
Volume in Å³ per atom: 19.07
Density in g/cm³: 12.1
ΔH_f (0 K) in eV per atom: -0.093
Spin magnetization in μB per formula unit: 0.00
E_tot in eV for the cell shown: -12.76

## LiTcOF2 (GGA-PBE)

Data for crystalline LiTcOF2 at its relaxed geometry.

a = 4.229 Å, b = 4.229 Å, c = 3.784 Å
α = 90.00°, β = 90.00°, γ = 90.00°
Atoms (fractional coordinates):
F  0.500  0.000  0.000
F  0.000  0.500  0.000
Tc  0.000  0.000  0.000
Li  0.500  0.500  0.500
O  0.000  0.000  0.500

Calculated values
Volume in Å³ per atom: 13.54
Formation energy without anion corrections in meV/atom: -1579
Density in g/cm³: 3.9
Energy above the lowest structure with this stoichiometry in eV/atom: 0.000
Spin magnetization in μB per formula unit: 0.00
E_tot in eV for the cell shown: -28.87

## Sm5DyN6 (GGA-PBE)

Data for crystalline Sm5DyN6 at its relaxed geometry.

a = 6.181 Å, b = 6.182 Å, c = 6.182 Å
α = 60.00°, β = 80.41°, γ = 70.53°
Atoms (fractional coordinates):
N  0.753  0.082  0.329
N  0.247  0.589  0.329
N  0.753  0.411  0.671
N  0.248  0.246  0.000
N  0.752  0.754  0.000
N  0.247  0.918  0.671
Dy  0.000  0.000  0.000
Sm  0.500  0.834  0.332
Sm  0.000  0.667  0.666
Sm  0.500  0.166  0.668
Sm  0.000  0.333  0.334
Sm  0.500  0.500  0.000

Calculated values
Volume in Å³ per atom: 16.07
Formation energy without anion corrections in meV/atom: -1515
Density in g/cm³: 8.6
Spin magnetization in μB per formula unit: 0.00
E_tot in eV for the cell shown: -96.33

## VSnB2H (GGA-PBE)

Data for crystalline VSnB2H at its relaxed geometry.

a = 3.928 Å, b = 3.479 Å, c = 3.928 Å
α = 90.00°, β = 90.00°, γ = 90.00°
Atoms (fractional coordinates):
B  0.500  0.000  0.000
B  0.000  0.000  0.500
H  0.000  0.000  0.000
V  0.500  0.500  0.500
Sn  0.000  0.500  0.000

Calculated values
Volume in Å³ per atom: 10.73
Density in g/cm³: 5.9
Spin magnetization in μB per formula unit: 0.00
E_tot in eV for the cell shown: -23.48

## Ba2Cd3Bi2 (GGA-PBE)

Data for crystalline Ba2Cd3Bi2 at its relaxed geometry.

a = 5.340 Å, b = 6.655 Å, c = 7.454 Å
α = 97.59°, β = 90.00°, γ = 113.65°
Atoms (fractional coordinates):
Cd  0.398  0.796  0.577
Cd  0.602  0.204  0.423
Cd  0.500  0.000  0.000
Bi  0.826  0.652  0.738
Bi  0.174  0.348  0.262
Ba  0.873  0.747  0.240
Ba  0.127  0.253  0.760

Calculated values
Volume in Å³ per atom: 34.30
Density in g/cm³: 7.1
ΔH_f (0 K) in eV per atom: -0.513
Spin magnetization in μB per formula unit: 0.00
E_tot in eV for the cell shown: -17.94

Repeat the seventh record exactly.
## VSnB2H (GGA-PBE)

Data for crystalline VSnB2H at its relaxed geometry.

a = 3.928 Å, b = 3.479 Å, c = 3.928 Å
α = 90.00°, β = 90.00°, γ = 90.00°
Atoms (fractional coordinates):
B  0.500  0.000  0.000
B  0.000  0.000  0.500
H  0.000  0.000  0.000
V  0.500  0.500  0.500
Sn  0.000  0.500  0.000

Calculated values
Volume in Å³ per atom: 10.73
Density in g/cm³: 5.9
Spin magnetization in μB per formula unit: 0.00
E_tot in eV for the cell shown: -23.48

Q: Which of these has the highest density?
A: Hf5TcBi

Please write out number 4 again, unchanged.
## TiCdHgAu (GGA-PBE)

Data for crystalline TiCdHgAu at its relaxed geometry.

a = 4.760 Å, b = 4.760 Å, c = 4.760 Å
α = 60.00°, β = 60.00°, γ = 60.00°
Atoms (fractional coordinates):
Au  0.750  0.750  0.750
Hg  0.250  0.250  0.250
Cd  0.000  0.000  0.000
Ti  0.500  0.500  0.500

Calculated values
Volume in Å³ per atom: 19.07
Density in g/cm³: 12.1
ΔH_f (0 K) in eV per atom: -0.093
Spin magnetization in μB per formula unit: 0.00
E_tot in eV for the cell shown: -12.76

Q: density of number 6 (Sm5DyN6)?
A: 8.6 g/cm³